# 1
The following is a PBE calculation of crystalline HoRe at its relaxed geometry, from OQMD via LeMat-Bulk.

Summary:
Its symmetry is P-6m2, No. 187. The value obtained for the calculated total energy is -0.2860 hartree per atom. As for the calculated formation energy: 16.53 kcal/mol of atoms.

```
HoRe
1.0
3.1130 0.0000 0.0000
-1.5565 2.6960 0.0000
0.0000 0.0000 4.7333
Ho Re
1 1
Direct
0.6667 0.3333 0.7500
0.3333 0.6667 0.2500
```



# 2
The following is a PBE calculation of crystalline NaZrAuSe3 at its relaxed geometry, from OQMD via LeMat-Bulk.

Summary:
Its symmetry is Cmcm, No. 63. The value obtained for the calculated total energy is -0.1787 hartree per atom. As for the energy above the most stable polymorph in this dataset: 40 meV/atom.

```
NaZrAuSe3
1.0
1.9428 -6.9213 0.0000
1.9428 6.9213 0.0000
0.0000 0.0000 10.4173
Se Na Au Zr
6 2 2 2
Direct
0.1373 0.8627 0.5371
0.5857 0.4143 0.2500
0.8627 0.1373 0.0371
0.8627 0.1373 0.4629
0.1373 0.8627 0.9629
0.4143 0.5857 0.7500
0.7368 0.2632 0.7500
0.2632 0.7368 0.2500
0.0468 0.9532 0.7500
0.9532 0.0468 0.2500
0.5000 0.5000 0.5000
0.5000 0.5000 0.0000
```



# 3
The following is a PBE calculation of crystalline LuMgGaAu at its relaxed geometry, from OQMD via LeMat-Bulk.

Summary:
Its symmetry is F-43m, No. 216. The value obtained for the calculated total energy is -0.1263 hartree per atom. As for the energy above the most stable polymorph in this dataset: 280 meV/atom.

```
LuMgGaAu
1.0
-4.5970 -1.0544 -0.8712
-3.1703 3.5227 -0.7370
-1.8330 0.6997 -4.3765
Mg Lu Au Ga
1 1 1 1
Direct
0.0000 0.0000 0.0000
0.7500 0.7500 0.7500
0.2500 0.2500 0.2500
0.5000 0.5000 0.5000
```



Please write out number 1 again, unchanged.
The following is a PBE calculation of crystalline HoRe at its relaxed geometry, from OQMD via LeMat-Bulk.

Summary:
Its symmetry is P-6m2, No. 187. The value obtained for the calculated total energy is -0.2860 hartree per atom. As for the calculated formation energy: 16.53 kcal/mol of atoms.

```
HoRe
1.0
3.1130 0.0000 0.0000
-1.5565 2.6960 0.0000
0.0000 0.0000 4.7333
Ho Re
1 1
Direct
0.6667 0.3333 0.7500
0.3333 0.6667 0.2500
```